Arrangement w

4
Lattice="-0.467 2.697 2.092 0.402 -2.054 2.737 8.832 1.602 -0.095" Properties=species:S:1:pos:R:3 comment="NaLi2Dy (PBE-GGA, relaxed)" volume_a3_per_cell=106.6 pbc="T T T"
Na -0.032 0.322 2.415
Li 6.659 1.208 -0.072
Li 2.173 0.394 -0.023
Dy 4.384 1.123 2.367

Arrangement x

4
Lattice="3.292 0.000 0.000 1.646 2.851 0.000 1.646 0.950 11.976" Properties=species:S:1:pos:R:3 comment="NaLi2Dy (PBE-GGA, relaxed)" volume_a3_per_cell=112.4 pbc="T T T"
Na 3.292 1.901 5.988
Li 1.646 0.950 8.898
Li 4.938 2.851 3.077
Dy 0.000 0.000 0.000

The structure with the most favorable energy is arrangement w; the runner-up is 59 meV/atom above it.

Arrangement w

3
Lattice="-0.605 2.065 -2.650 2.235 -2.561 -0.308 -6.412 -5.277 -2.648" Properties=species:S:1:pos:R:3 comment="NaLiDy (PBE-GGA, relaxed)" volume_a3_per_cell=87.9 pbc="T T T"
Na -2.925 -4.487 -2.828
Li -1.741 -1.192 -2.729
Dy -0.115 -0.095 -0.048

Arrangement x

6
Lattice="3.376 -0.048 -0.426 0.039 5.780 -0.331 -2.240 -3.086 9.263" Properties=species:S:1:pos:R:3 comment="NaLiDy (PBE-GGA, relaxed)" volume_a3_per_cell=171.8 pbc="T T T"
Dy 1.255 1.611 2.709
Dy -0.080 1.035 5.796
Li -0.374 4.585 3.104
Li 1.548 -1.939 5.402
Na 0.247 -1.701 8.364
Na 0.928 4.347 0.141

The structure with the most favorable energy is arrangement w; the runner-up is 24 meV/atom above it.

Arrangement w

4
Lattice="3.750 0.000 0.000 0.000 5.341 0.000 0.000 0.000 5.341" Properties=species:S:1:pos:R:3 comment="Li2NdDy (PBE-GGA, relaxed)" volume_a3_per_cell=107.0 pbc="T T T"
Dy 1.875 2.671 2.671
Nd 1.875 0.000 0.000
Li 0.000 0.000 2.671
Li 0.000 2.671 0.000

Arrangement x

4
Lattice="-2.267 -0.117 2.471 0.592 -1.853 2.734 4.652 8.719 6.961" Properties=species:S:1:pos:R:3 comment="Li2NdDy (PBE-GGA, relaxed)" volume_a3_per_cell=116.3 pbc="T T T"
Li 3.286 6.260 5.590
Li -0.308 0.489 6.575
Nd 1.489 3.374 6.083
Dy 0.000 0.000 0.000

The structure with the most favorable energy is arrangement w; the runner-up is 126 meV/atom above it.

Arrangement w

4
Lattice="3.536 -0.001 -0.001 1.766 3.063 -0.001 1.765 1.019 11.295" Properties=species:S:1:pos:R:3 comment="LiNdDy2 (PBE-GGA, relaxed)" volume_a3_per_cell=122.3 pbc="T T T"
Li 3.536 2.041 0.001
Nd 3.534 2.040 5.650
Dy 1.764 1.019 8.597
Dy 1.766 1.020 2.692

Arrangement x

4
Lattice="3.663 0.000 0.000 0.000 3.663 0.000 0.000 0.000 8.775" Properties=species:S:1:pos:R:3 comment="LiNdDy2 (PBE-GGA, relaxed)" volume_a3_per_cell=117.7 pbc="T T T"
Li 1.831 1.831 0.000
Nd 1.831 1.831 4.387
Dy 0.000 0.000 6.880
Dy 0.000 0.000 1.895

The structure with the most favorable energy is arrangement x; the runner-up is 43 meV/atom above it.